The following is a DFT calculation (PBE) of an optimized crystal structure of TaCrGa.

```
6
Lattice="-2.453 2.541 3.517 2.453 -2.541 3.517 2.453 2.541 -3.517" Properties=species:S:1:pos:R:3 pbc="T T T"
Ta 0.000 1.271 0.857
Ta 2.453 1.271 2.660
Cr 1.226 1.271 -1.758
Cr 1.226 -1.271 1.758
Ga 2.453 0.000 0.000
Ga 0.000 0.000 3.517
```

## Properties
As for the space group: Imma. The calculated volume comes out at 44 Å³/f.u. The value obtained for the electronic total energy is -0.612 Ry/atom. The calculation puts the formation energy at -0.1547 eV/atom. Its crystal system is orthorhombic. The size of the total moment comes out at 0.00 μB/cell.


The following is a DFT calculation (PBE) of an optimized crystal structure of TaCrGa2.

```
4
Lattice="0.000 3.141 3.141 3.141 0.000 3.141 3.141 3.141 0.000" Properties=species:S:1:pos:R:3 pbc="T T T"
Ta 0.000 0.000 0.000
Cr 3.141 3.141 3.141
Ga 1.570 1.570 1.570
Ga 4.711 4.711 4.711
```

## Properties
As for the space group: Fm-3m. The calculated volume comes out at 62 Å³/f.u. The value obtained for the electronic total energy is -0.493 Ry/atom. The calculation puts the formation energy at 0.1683 eV/atom. As for the polymorph energy (0 for the lowest one): 0.78 eV per formula unit. Its crystal system is cubic. The size of the total moment comes out at 1.32 μB/cell.


The following is a DFT calculation (PBE) of an optimized crystal structure of TaCrGa2.

```
4
Lattice="3.882 0.000 0.000 0.000 3.882 0.000 0.000 0.000 4.036" Properties=species:S:1:pos:R:3 pbc="T T T"
Ta 0.000 0.000 0.000
Cr 1.941 1.941 0.000
Ga 0.000 1.941 2.018
Ga 1.941 0.000 2.018
```

## Properties
As for the space group: P4/mmm. The calculated volume comes out at 61 Å³/f.u. The value obtained for the electronic total energy is -0.508 Ry/atom. The calculation puts the formation energy at -0.0278 eV/atom. As for the polymorph energy (0 for the lowest one): 0.00 eV per formula unit. Its crystal system is tetragonal. The size of the total moment comes out at 1.91 μB/cell.


The following is a DFT calculation (PBE) of an optimized crystal structure of TaCrGa.

```
6
Lattice="2.841 0.000 0.000 0.936 4.976 0.000 0.780 1.469 6.396" Properties=species:S:1:pos:R:3 pbc="T T T"
Ta 0.000 0.000 0.000
Ta 0.891 1.604 2.200
Cr 1.827 3.025 4.222
Cr 2.691 4.004 2.207
Ga 3.085 4.030 6.388
Ga 3.235 5.380 4.225
```

## Properties
As for the space group: P1. The calculated volume comes out at 45 Å³/f.u. The value obtained for the electronic total energy is -0.598 Ry/atom. The calculation puts the formation energy at 0.0354 eV/atom. Its crystal system is triclinic. The size of the total moment comes out at 0.00 μB/cell.


The following is a DFT calculation (PBE) of an optimized crystal structure of TaCrGa.

```
6
Lattice="2.933 0.000 0.000 0.000 4.364 0.000 0.000 0.000 7.140" Properties=species:S:1:pos:R:3 pbc="T T T"
Ta 0.000 0.000 0.000
Ta 0.000 2.182 3.570
Cr 1.466 0.000 2.538
Cr 1.466 0.000 4.603
Ga 1.466 2.182 1.218
Ga 1.466 2.182 5.922
```

## Properties
As for the space group: Pmmm. The calculated volume comes out at 46 Å³/f.u. The value obtained for the electronic total energy is -0.596 Ry/atom. The calculation puts the formation energy at 0.0592 eV/atom. Its crystal system is orthorhombic. The size of the total moment comes out at 0.00 μB/cell.


The following is a DFT calculation (PBE) of an optimized crystal structure of TaCr2Ga2.

```
10
Lattice="7.087 0.000 0.000 0.000 7.087 0.000 0.000 0.000 2.884" Properties=species:S:1:pos:R:3 pbc="T T T"
Ta 0.000 0.000 0.000
Ta 3.543 3.543 0.000
Cr 0.757 2.787 0.000
Cr 2.787 6.330 0.000
Cr 4.300 0.757 0.000
Cr 6.330 4.300 0.000
Ga 1.312 4.855 1.442
Ga 2.231 1.312 1.442
Ga 4.855 5.775 1.442
Ga 5.775 2.231 1.442
```

## Properties
As for the space group: P4/mbm. The calculated volume comes out at 72 Å³/f.u. The value obtained for the electronic total energy is -0.533 Ry/atom. The calculation puts the formation energy at 0.1799 eV/atom. As for the polymorph energy (0 for the lowest one): 0.61 eV per formula unit. Its crystal system is tetragonal. The size of the total moment comes out at 0.00 μB/cell.


What is the formula in the sixth record? TaCr2Ga2